(1)
Crystalline AcZrSc2 at its relaxed geometry, computed with PBE-GGA.

Lattice parameters (Å, degrees): 5.3891 5.3891 5.3891 60.00 60.00 60.00
Atoms (fractional coordinates):
Ac  0.0000  0.0000  0.0000
Zr  0.5000  0.5000  0.5000
Sc  0.2500  0.2500  0.2500
Sc  0.7500  0.7500  0.7500

Electronic total energy: -6.147 eV per atom
Energy of formation: 0.7 eV/f.u.
Calculated volume: 111 Å³ per cell
Spin magnetization: 0.00 μB/cell
DOS(E_F): 6.46 states/eV per cell

---

(2)
Crystalline SnHgPb2Se at its relaxed geometry, computed with PBE-GGA.

Lattice parameters (Å, degrees): 5.8607 5.8607 5.3640 90.00 90.00 90.00
Atoms (fractional coordinates):
Sn  0.0000  0.0000  0.0000
Hg  0.0000  0.0000  0.5000
Pb  0.0000  0.5000  0.0000
Pb  0.5000  0.0000  0.0000
Se  0.5000  0.5000  0.5000

Formation energy without anion corrections: 402.7 meV per atom
Electronic total energy: -2.638 eV per atom
Calculated volume: 184 Å³ per cell
Spin magnetization: 0.00 μB/cell
DOS(E_F): 2.06 states/eV per cell

---

(3)
Crystalline CsTlBr2 at its relaxed geometry, computed with PBE-GGA.

Lattice parameters (Å, degrees): 8.8585 8.8585 9.9910 90.00 90.00 120.00
Atoms (fractional coordinates):
Cs  0.0000  0.6420  0.1667
Cs  0.3580  0.3580  0.5000
Cs  0.6420  0.0000  0.8333
Tl  0.0000  0.6208  0.6667
Tl  0.3792  0.3792  0.0000
Tl  0.6208  0.0000  0.3333
Br  0.0419  0.4011  0.8945
Br  0.3592  0.9581  0.5611
Br  0.4011  0.0419  0.1055
Br  0.5989  0.6408  0.2278
Br  0.6408  0.5989  0.7722
Br  0.9581  0.3592  0.4389

Formation energy without anion corrections: -1258.8 meV per atom
Electronic total energy: -2.900 eV per atom
Calculated volume: 679 Å³ per cell
Spin magnetization: 0.00 μB/cell
DOS(E_F): 0.00 states/eV per cell

---

(4)
Crystalline BaAuCl2 at its relaxed geometry, computed with PBE-GGA.

Lattice parameters (Å, degrees): 3.7862 3.7862 10.0381 90.00 90.00 90.00
Atoms (fractional coordinates):
Ba  0.0000  0.0000  0.0000
Au  0.0000  0.0000  0.5000
Cl  0.5000  0.5000  0.1679
Cl  0.5000  0.5000  0.8321

Formation energy without anion corrections: -1131.1 meV per atom
Electronic total energy: -3.354 eV per atom
Calculated volume: 144 Å³ per cell
Spin magnetization: 0.00 μB/cell
DOS(E_F): 0.78 states/eV per cell

---

(5)
Crystalline HoErAg at its relaxed geometry, computed with PBE-GGA.

Lattice parameters (Å, degrees): 6.9436 5.0330 9.0357 90.00 90.00 90.00
Atoms (fractional coordinates):
Ho  0.0165  0.2500  0.1865
Ho  0.4835  0.7500  0.6865
Ho  0.5165  0.2500  0.3135
Ho  0.9835  0.7500  0.8135
Er  0.1531  0.2500  0.5775
Er  0.3469  0.7500  0.0775
Er  0.6531  0.2500  0.9225
Er  0.8469  0.7500  0.4225
Ag  0.2365  0.2500  0.8988
Ag  0.2635  0.7500  0.3988
Ag  0.7365  0.2500  0.6012
Ag  0.7635  0.7500  0.1012

Electronic total energy: -4.205 eV per atom
Energy of formation: -0.6 eV/f.u.
Calculated volume: 316 Å³ per cell
Spin magnetization: 0.00 μB/cell
DOS(E_F): 13.18 states/eV per cell

---

(6)
Crystalline Y3HoPb2 at its relaxed geometry, computed with PBE-GGA.

Lattice parameters (Å, degrees): 8.9943 8.9943 8.9943 131.61 72.19 129.92
Atoms (fractional coordinates):
Y  0.0404  0.7500  0.2904
Y  0.2500  0.2500  0.0000
Y  0.4596  0.7500  0.7096
Y  0.5404  0.2500  0.2904
Y  0.7500  0.7500  0.0000
Y  0.9596  0.2500  0.7096
Ho  0.0000  0.5000  0.5000
Ho  0.5000  0.0000  0.5000
Pb  0.1426  0.1815  0.3240
Pb  0.3574  0.6815  0.0389
Pb  0.6426  0.3185  0.9611
Pb  0.8574  0.8185  0.6760

Electronic total energy: -5.410 eV per atom
Energy of formation: -1.1 eV/f.u.
Calculated volume: 408 Å³ per cell
Spin magnetization: 0.00 μB/cell
DOS(E_F): 15.63 states/eV per cell

---

(7)
Crystalline La2Dy5Tm3 at its relaxed geometry, computed with PBE-GGA.

Lattice parameters (Å, degrees): 8.9674 8.9674 9.7967 105.77 105.77 105.07
Atoms (fractional coordinates):
La  0.0517  0.3012  0.0441
La  0.3012  0.0517  0.5441
La  0.6988  0.9483  0.4559
La  0.9483  0.6988  0.9559
Dy  0.0327  0.9673  0.7500
Dy  0.0702  0.3206  0.6633
Dy  0.2528  0.7472  0.7500
Dy  0.3206  0.0702  0.1633
Dy  0.4951  0.5049  0.7500
Dy  0.5049  0.4951  0.2500
Dy  0.6794  0.9298  0.8367
Dy  0.7472  0.2528  0.2500
Dy  0.9298  0.6794  0.3367
Dy  0.9673  0.0327  0.2500
Tm  0.2020  0.4524  0.4187
Tm  0.2726  0.7274  0.2500
Tm  0.4524  0.2020  0.9187
Tm  0.5476  0.7980  0.0813
Tm  0.7274  0.2726  0.7500
Tm  0.7980  0.5476  0.5813

Electronic total energy: -4.411 eV per atom
Energy of formation: 2.2 eV/f.u.
Calculated volume: 681 Å³ per cell
Spin magnetization: 0.01 μB/cell
DOS(E_F): 33.99 states/eV per cell

---

(8)
Crystalline Gd2MgOs at its relaxed geometry, computed with PBE-GGA.

Lattice parameters (Å, degrees): 10.8842 10.8842 10.8842 18.29 18.29 18.29
Atoms (fractional coordinates):
Gd  0.1046  0.1046  0.1046
Gd  0.8954  0.8954  0.8954
Mg  0.0000  0.0000  0.0000
Os  0.5000  0.5000  0.5000

Electronic total energy: -9.950 eV per atom
Energy of formation: 1.2 eV/f.u.
Calculated volume: 111 Å³ per cell
Spin magnetization: 14.55 μB/cell
DOS(E_F): 4.39 states/eV per cell

---

(9)
Crystalline CaHgCl3 at its relaxed geometry, computed with PBE-GGA.

Lattice parameters (Å, degrees): 5.3821 5.3821 5.3821 90.00 90.00 90.00
Atoms (fractional coordinates):
Ca  0.0000  0.0000  0.0000
Hg  0.5000  0.5000  0.5000
Cl  0.0000  0.5000  0.5000
Cl  0.5000  0.0000  0.5000
Cl  0.5000  0.5000  0.0000

Formation energy without anion corrections: -838.8 meV per atom
Electronic total energy: -2.407 eV per atom
Calculated volume: 156 Å³ per cell
Spin magnetization: 0.00 μB/cell
DOS(E_F): 2.46 states/eV per cell

---

(10)
Crystalline PuAg5Cl12 at its relaxed geometry, computed with PBE-GGA.

Lattice parameters (Å, degrees): 6.6538 6.7189 12.8271 87.14 80.99 68.68
Atoms (fractional coordinates):
Pu  0.0000  0.0000  0.0000
Ag  0.1667  0.6661  0.4999
Ag  0.4101  0.2614  0.9664
Ag  0.5000  0.0000  0.5000
Ag  0.5899  0.7386  0.0336
Ag  0.8333  0.3339  0.5001
Cl  0.0953  0.2740  0.8715
Cl  0.1502  0.3845  0.3863
Cl  0.1834  0.9482  0.6129
Cl  0.2349  0.0496  0.1352
Cl  0.3420  0.6852  0.9051
Cl  0.4838  0.7163  0.3864
Cl  0.5162  0.2837  0.6136
Cl  0.6580  0.3148  0.0949
Cl  0.7651  0.9504  0.8648
Cl  0.8166  0.0518  0.3871
Cl  0.8498  0.6155  0.6137
Cl  0.9047  0.7260  0.1285

Formation energy without anion corrections: -722.5 meV per atom
Electronic total energy: -3.542 eV per atom
Calculated volume: 528 Å³ per cell
Spin magnetization: 6.32 μB/cell
DOS(E_F): 13.95 states/eV per cell

---

(11)
Crystalline Hf2SiGe at its relaxed geometry, computed with PBE-GGA.

Lattice parameters (Å, degrees): 5.3291 3.7925 7.5097 90.00 110.71 90.00
Atoms (fractional coordinates):
Hf  0.2087  0.2500  0.4232
Hf  0.2750  0.7500  0.0690
Hf  0.7250  0.2500  0.9310
Hf  0.7913  0.7500  0.5768
Si  0.1253  0.2500  0.7920
Si  0.8747  0.7500  0.2080
Ge  0.3780  0.7500  0.7081
Ge  0.6220  0.2500  0.2919

Formation energy without anion corrections: -711.7 meV per atom
Electronic total energy: -8.199 eV per atom
Calculated volume: 142 Å³ per cell
Spin magnetization: 0.00 μB/cell
DOS(E_F): 2.51 states/eV per cell

---

(12)
Crystalline CdAg2Rh at its relaxed geometry, computed with PBE-GGA.

Lattice parameters (Å, degrees): 5.0395 5.0395 5.0395 131.93 131.93 70.34
Atoms (fractional coordinates):
Cd  0.0000  0.0000  0.0000
Ag  0.2500  0.7500  0.5000
Ag  0.7500  0.2500  0.5000
Rh  0.5000  0.5000  0.0000

Electronic total energy: -3.433 eV per atom
Energy of formation: 0.2 eV/f.u.
Calculated volume: 69 Å³ per cell
Spin magnetization: 0.00 μB/cell
DOS(E_F): 2.20 states/eV per cell

---

(13)
Crystalline Cd5Cu3 at its relaxed geometry, computed with PBE-GGA.

Lattice parameters (Å, degrees): 7.8077 7.8077 5.5298 90.00 90.00 120.00
Atoms (fractional coordinates):
Cd  0.0000  0.2365  0.2500
Cd  0.0000  0.7635  0.7500
Cd  0.2365  0.0000  0.2500
Cd  0.2365  0.2365  0.7500
Cd  0.3333  0.6667  0.0000
Cd  0.3333  0.6667  0.5000
Cd  0.6667  0.3333  0.0000
Cd  0.6667  0.3333  0.5000
Cd  0.7635  0.0000  0.7500
Cd  0.7635  0.7635  0.2500
Cu  0.0000  0.4012  0.7500
Cu  0.0000  0.5988  0.2500
Cu  0.4012  0.0000  0.7500
Cu  0.4012  0.4012  0.2500
Cu  0.5988  0.0000  0.2500
Cu  0.5988  0.5988  0.7500

Electronic total energy: -2.030 eV per atom
Energy of formation: 0.6 eV/f.u.
Calculated volume: 292 Å³ per cell
Spin magnetization: 0.00 μB/cell
DOS(E_F): 3.68 states/eV per cell

---

(14)
Crystalline CeBe2H8Pt at its relaxed geometry, computed with PBE-GGA.

Lattice parameters (Å, degrees): 6.5863 6.5863 6.5863 37.98 37.98 37.98
Atoms (fractional coordinates):
Ce  0.0000  0.0000  0.0000
Be  0.2390  0.2390  0.2390
Be  0.7610  0.7610  0.7610
H  0.1078  0.4236  0.7850
H  0.2150  0.8922  0.5764
H  0.3210  0.3210  0.3210
H  0.4236  0.7850  0.1078
H  0.5764  0.2150  0.8922
H  0.6790  0.6790  0.6790
H  0.7850  0.1078  0.4236
H  0.8922  0.5764  0.2150
Pt  0.5000  0.5000  0.5000

Electronic total energy: -3.957 eV per atom
Calculated volume: 97 Å³ per cell
Spin magnetization: 0.17 μB/cell
DOS(E_F): 3.21 states/eV per cell

---

(15)
Crystalline La3Zn3Ga at its relaxed geometry, computed with PBE-GGA.

Lattice parameters (Å, degrees): 5.8537 5.8537 15.0115 107.00 107.00 46.87
Atoms (fractional coordinates):
La  0.0548  0.0548  0.3902
La  0.1038  0.1038  0.9214
La  0.2674  0.2674  0.2282
La  0.7326  0.7326  0.7718
La  0.8962  0.8962  0.0786
La  0.9452  0.9452  0.6098
Zn  0.3703  0.3703  0.4608
Zn  0.3981  0.3981  0.9248
Zn  0.4377  0.4377  0.7652
Zn  0.5623  0.5623  0.2348
Zn  0.6019  0.6019  0.0752
Zn  0.6297  0.6297  0.5392
Ga  0.2450  0.2450  0.6071
Ga  0.7550  0.7550  0.3929

Electronic total energy: -3.470 eV per atom
Energy of formation: -2.7 eV/f.u.
Calculated volume: 356 Å³ per cell
Spin magnetization: 0.00 μB/cell
DOS(E_F): 11.37 states/eV per cell

---

(16)
Crystalline CaSmMg6 at its relaxed geometry, computed with PBE-GGA.

Lattice parameters (Å, degrees): 5.2247 6.7152 6.7152 64.04 90.00 90.00
Atoms (fractional coordinates):
Ca  0.0000  0.0000  0.0000
Sm  0.5000  0.7065  0.7065
Mg  0.0000  0.0353  0.4879
Mg  0.0000  0.4879  0.0353
Mg  0.0000  0.5222  0.5222
Mg  0.5000  0.1908  0.1908
Mg  0.5000  0.2229  0.6647
Mg  0.5000  0.6647  0.2229

Electronic total energy: -2.102 eV per atom
Energy of formation: -0.5 eV/f.u.
Calculated volume: 212 Å³ per cell
Spin magnetization: 0.00 μB/cell
DOS(E_F): 6.13 states/eV per cell

---

(17)
Crystalline BaAlZnCu at its relaxed geometry, computed with PBE-GGA.

Lattice parameters (Å, degrees): 4.3836 4.3836 6.3946 109.93 109.93 60.40
Atoms (fractional coordinates):
Ba  0.0000  0.0000  0.0000
Al  0.5079  0.5079  0.5264
Zn  0.8096  0.8096  0.4308
Cu  0.1851  0.1851  0.5588

Electronic total energy: -2.971 eV per atom
Energy of formation: -0.8 eV/f.u.
Calculated volume: 98 Å³ per cell
Spin magnetization: 0.00 μB/cell
DOS(E_F): 2.14 states/eV per cell

---

(18)
Crystalline OsRhBr at its relaxed geometry, computed with PBE-GGA.

Lattice parameters (Å, degrees): 6.2519 6.2519 6.2519 152.64 152.64 39.08
Atoms (fractional coordinates):
Os  0.0000  0.0000  0.0000
Rh  0.6314  0.6314  0.0000
Br  0.3346  0.3346  0.0000

Formation energy without anion corrections: 847.7 meV per atom
Electronic total energy: -5.904 eV per atom
Calculated volume: 52 Å³ per cell
Spin magnetization: 0.00 μB/cell
DOS(E_F): 2.26 states/eV per cell

---

(19)
Crystalline Dy3Er3ZnTc2 at its relaxed geometry, computed with PBE-GGA.

Lattice parameters (Å, degrees): 8.0797 8.0797 3.8247 90.00 90.00 120.00
Atoms (fractional coordinates):
Dy  0.0000  0.7199  0.0000
Dy  0.2801  0.2801  0.0000
Dy  0.7199  0.0000  0.0000
Er  0.0000  0.3974  0.5000
Er  0.3974  0.0000  0.5000
Er  0.6026  0.6026  0.5000
Zn  0.0000  0.0000  0.5000
Tc  0.3333  0.6667  0.0000
Tc  0.6667  0.3333  0.0000

Electronic total energy: -5.514 eV per atom
Energy of formation: -0.1 eV/f.u.
Calculated volume: 216 Å³ per cell
Spin magnetization: 0.00 μB/cell
DOS(E_F): 9.23 states/eV per cell

---

(20)
Crystalline KCdIr2 at its relaxed geometry, computed with PBE-GGA.

Lattice parameters (Å, degrees): 3.4132 3.4132 8.2003 90.00 90.00 90.00
Atoms (fractional coordinates):
K  0.0000  0.0000  0.0000
Cd  0.5000  0.5000  0.3403
Ir  0.0000  0.0000  0.5880
Ir  0.5000  0.5000  0.6838

Electronic total energy: -4.503 eV per atom
Energy of formation: 1.7 eV/f.u.
Calculated volume: 96 Å³ per cell
Spin magnetization: 0.00 μB/cell
DOS(E_F): 2.83 states/eV per cell

---

(21)
Crystalline BaTlH at its relaxed geometry, computed with PBE-GGA.

Lattice parameters (Å, degrees): 4.8186 4.8186 8.9594 105.64 105.64 60.17
Atoms (fractional coordinates):
Ba  0.0000  0.0000  0.0000
Ba  0.2137  0.2137  0.6340
Tl  0.4214  0.4214  0.2627
Tl  0.7871  0.7871  0.3578
H  0.6116  0.6116  0.8466
H  0.8972  0.8972  0.6895

Electronic total energy: -2.834 eV per atom
Calculated volume: 171 Å³ per cell
Spin magnetization: 0.00 μB/cell
DOS(E_F): 2.23 states/eV per cell

---

(22)
Crystalline NdLuPuSn at its relaxed geometry, computed with PBE-GGA.

Lattice parameters (Å, degrees): 5.4388 5.4388 5.4388 60.00 60.00 60.00
Atoms (fractional coordinates):
Nd  0.0000  0.0000  0.0000
Lu  0.2500  0.2500  0.2500
Pu  0.5000  0.5000  0.5000
Sn  0.7500  0.7500  0.7500

Electronic total energy: -7.041 eV per atom
Energy of formation: -0.5 eV/f.u.
Calculated volume: 114 Å³ per cell
Spin magnetization: 7.03 μB/cell
DOS(E_F): 10.37 states/eV per cell

---

(23)
Crystalline Na2PaAgBr8 at its relaxed geometry, computed with PBE-GGA.

Lattice parameters (Å, degrees): 6.7186 6.9381 9.3377 89.93 89.98 83.06
Atoms (fractional coordinates):
Na  0.0028  0.0012  0.2228
Na  0.9972  0.9988  0.7772
Pa  0.5000  0.5000  0.5000
Ag  0.5000  0.5000  0.0000
Br  0.2271  0.8285  0.5003
Br  0.2341  0.7975  0.9995
Br  0.2870  0.3409  0.7064
Br  0.2866  0.3420  0.2935
Br  0.7134  0.6580  0.7065
Br  0.7130  0.6591  0.2936
Br  0.7659  0.2025  0.0005
Br  0.7729  0.1715  0.4997

Formation energy without anion corrections: -1256.2 meV per atom
Electronic total energy: -3.620 eV per atom
Calculated volume: 432 Å³ per cell
Spin magnetization: 0.00 μB/cell

---

(24)
Crystalline LiNb3Mo at its relaxed geometry, computed with PBE-GGA.

Lattice parameters (Å, degrees): 4.4054 4.4054 4.4054 90.00 90.00 90.00
Atoms (fractional coordinates):
Li  0.0000  0.0000  0.0000
Nb  0.0000  0.0000  0.5000
Nb  0.0000  0.5000  0.0000
Nb  0.5000  0.0000  0.0000
Mo  0.5000  0.5000  0.5000

Electronic total energy: -7.403 eV per atom
Energy of formation: 5.9 eV/f.u.
Calculated volume: 85 Å³ per cell
Spin magnetization: 0.00 μB/cell
DOS(E_F): 8.24 states/eV per cell